# 1
## Li2TcCl (GGA-PBEsol)

Data for Li2TcCl after structural relaxation.

Computed properties:
calculated density	4462	kg/m3
ΔE_f (raw)	0.038	eV/atom
space group	Cm (8)
magnetization	0.0	μB/f.u.
total DFT energy (no corrections)	-17.06	eV for the cell shown
calculated volume	13.707	Å³/atom

a = 4.5068 Å, b = 4.5068 Å, c = 4.9291 Å
α = 113.61°, β = 113.61°, γ = 37.17°
Positions (direct):
1 Li 0.0000 0.0000 0.0000
2 Li 0.2119 0.2119 0.7912
3 Tc 0.4058 0.4058 0.4164
4 Cl 0.6737 0.6737 0.3989

# 2
## CaBrCl2 (GGA-PBEsol)

Data for CaBrCl2 after structural relaxation.

Computed properties:
calculated density	3479	kg/m3
ΔE_f (raw)	-1.285	eV/atom
space group	I4/mmm (139)
magnetization	0.9	μB/f.u.
total DFT energy (no corrections)	-13.16	eV for the cell shown
calculated volume	22.779	Å³/atom

a = 5.2650 Å, b = 5.2650 Å, c = 5.2650 Å
α = 126.55°, β = 126.55°, γ = 78.99°
Positions (direct):
1 Ca 0.0000 0.0000 0.0000
2 Br 0.5000 0.5000 0.0000
3 Cl 0.2500 0.7500 0.5000
4 Cl 0.7500 0.2500 0.5000

# 3
## KAlS2 (GGA-PBEsol)

Data for KAlS2 after structural relaxation.

Computed properties:
calculated density	2205	kg/m3
ΔE_f (raw)	-1.260	eV/atom
space group	I-42d (122)
magnetization	0.0	μB/f.u.
total DFT energy (no corrections)	-38.07	eV for the cell shown
calculated volume	24.518	Å³/atom

a = 6.4036 Å, b = 6.4036 Å, c = 6.4036 Å
α = 115.55°, β = 115.55°, γ = 97.90°
Positions (direct):
1 K 0.0000 0.0000 0.0000
2 K 0.7500 0.2500 0.5000
3 Al 0.2500 0.7500 0.5000
4 Al 0.5000 0.5000 0.0000
5 S 0.2222 0.6250 0.0972
6 S 0.3750 0.4722 0.5972
7 S 0.5278 0.1250 0.9028
8 S 0.8750 0.7778 0.4028

# 4
## Ce8InPd24 (GGA-PBEsol)

Data for Ce8InPd24 after structural relaxation.

Computed properties:
calculated density	10897	kg/m3
space group	Pm-3m (221)
magnetization	4.3	μB/f.u.
total DFT energy (no corrections)	-223.44	eV for the cell shown
calculated formation energy	-748	meV/atom
calculated volume	17.501	Å³/atom

a = 8.3277 Å, b = 8.3277 Å, c = 8.3277 Å
α = 90.00°, β = 90.00°, γ = 90.00°
Positions (direct):
1 Ce 0.2477 0.2477 0.2477
2 Ce 0.2477 0.2477 0.7523
3 Ce 0.2477 0.7523 0.2477
4 Ce 0.2477 0.7523 0.7523
5 Ce 0.7523 0.2477 0.2477
6 Ce 0.7523 0.2477 0.7523
7 Ce 0.7523 0.7523 0.2477
8 Ce 0.7523 0.7523 0.7523
9 In 0.0000 0.0000 0.0000
10 Pd 0.0000 0.0000 0.3177
11 Pd 0.0000 0.0000 0.6823
12 Pd 0.0000 0.2682 0.5000
13 Pd 0.0000 0.3177 0.0000
14 Pd 0.0000 0.5000 0.2682
15 Pd 0.0000 0.5000 0.7318
16 Pd 0.0000 0.6823 0.0000
17 Pd 0.0000 0.7318 0.5000
18 Pd 0.2557 0.5000 0.5000
19 Pd 0.2682 0.0000 0.5000
20 Pd 0.2682 0.5000 0.0000
21 Pd 0.3177 0.0000 0.0000
22 Pd 0.5000 0.0000 0.2682
23 Pd 0.5000 0.0000 0.7318
24 Pd 0.5000 0.2557 0.5000
25 Pd 0.5000 0.2682 0.0000
26 Pd 0.5000 0.5000 0.2557
27 Pd 0.5000 0.5000 0.7443
28 Pd 0.5000 0.7318 0.0000
29 Pd 0.5000 0.7443 0.5000
30 Pd 0.6823 0.0000 0.0000
31 Pd 0.7318 0.0000 0.5000
32 Pd 0.7318 0.5000 0.0000
33 Pd 0.7443 0.5000 0.5000

# 5
## FeCoAg (GGA-PBEsol)

Data for FeCoAg after structural relaxation.

Computed properties:
calculated density	9462	kg/m3
space group	Fmm2 (42)
magnetization	4.4	μB/f.u.
total DFT energy (no corrections)	-19.04	eV for the cell shown
calculated formation energy	324	meV/atom
calculated volume	13.025	Å³/atom

a = 6.5882 Å, b = 6.4141 Å, c = 2.5804 Å
α = 82.37°, β = 74.79°, γ = 22.84°
Positions (direct):
1 Fe 0.0000 0.0000 0.0000
2 Co 0.3584 0.3584 0.6416
3 Ag 0.6801 0.6801 0.3199

# 6
## ZnSiTc (GGA-PBEsol)

Data for ZnSiTc after structural relaxation.

Computed properties:
calculated density	7954	kg/m3
ΔE_f (raw)	-0.162	eV/atom
space group	I4mm (107)
magnetization	0.4	μB/f.u.
total DFT energy (no corrections)	-19.08	eV for the cell shown
calculated volume	13.325	Å³/atom

a = 4.7060 Å, b = 4.7060 Å, c = 4.7060 Å
α = 141.56°, β = 141.56°, γ = 55.49°
Positions (direct):
1 Zn 0.0000 0.0000 0.0000
2 Si 0.3252 0.3252 0.0000
3 Tc 0.6803 0.6803 0.0000

> Look up the total DFT energy (no corrections) of the first one.

-17.06 eV for the cell shown

> Which of these has the lowest total DFT energy (no corrections)?

Ce8InPd24

> Which value of calculated volume does entry 1 give?

13.707 Å³/atom

> The lowest total DFT energy (no corrections) belongs to which entry?

Ce8InPd24